Computed, not measured: a geometry-optimized Ac3VZn2O9 structure at the GGA+U level of DFT.

Results
- space group = P-3m1
- final energy (eV for the cell shown) = -104.41
- spin magnetization (μB per cell) = 0.00

a b c (Å): 5.692 5.692 6.936
angles (deg): 90.00 90.00 120.00
Positions (direct):
Ac1 0.000 0.000 0.000
Ac2 0.333 0.667 0.698
Ac3 0.667 0.333 0.302
V1 0.000 0.000 0.500
Zn1 0.333 0.667 0.172
Zn2 0.667 0.333 0.828
O1 0.000 0.500 0.000
O2 0.157 0.314 0.342
O3 0.157 0.843 0.342
O4 0.314 0.157 0.658
O5 0.500 0.000 0.000
O6 0.500 0.500 0.000
O7 0.686 0.843 0.342
O8 0.843 0.157 0.658
O9 0.843 0.686 0.658